# LiMg2CoO4 GGA+U relaxed
data_LiMg2CoO4
_chemical_formula_sum 'Li1 Mg2 Co1 O4'
_space_group_name_H-M_alt 'P 1 2/m 1'
_space_group_IT_number 10
_space_group_name_Hall '-P 2y'
_cell_length_a 5.001
_cell_length_b 3.021
_cell_length_c 5.081
_cell_angle_alpha 90.00
_cell_angle_beta 107.54
_cell_angle_gamma 90.00
loop_
_atom_site_label
_atom_site_fract_x
_atom_site_fract_y
_atom_site_fract_z
_atom_site_occupancy
Li1 0.000 0.000 0.000 1
Mg1 0.500 0.000 0.500 1
Mg2 0.500 0.500 0.000 1
Co1 0.000 0.500 0.500 1
O1 0.244 0.500 0.275 1
O2 0.251 0.000 0.751 1
# * mass density: 4.05 g cm⁻³
# * M_tot: 2.0 μB per formula unit
# * uncorrected energy: -5.730 eV per atom
# * DOS(E_F): 0.11 states/eV/atom